Entry 1:
Here is an optimized crystal structure of Ce2Pa2Bi2C from the Alexandria database. Energies are from PBE.

```
Ce2Pa2Bi2C
1.0
4.7531 0.0000 0.0000
0.0000 4.7531 0.0000
0.0000 0.0000 16.7651
Ce Pa Bi C
4 4 4 2
direct
0.0000 0.0000 0.1548 Ce
0.0000 0.0000 0.8452 Ce
0.5000 0.5000 0.3452 Ce
0.5000 0.5000 0.6548 Ce
0.0000 0.5000 0.0000 Pa
0.0000 0.5000 0.5000 Pa
0.5000 0.0000 0.0000 Pa
0.5000 0.0000 0.5000 Pa
0.0000 0.0000 0.3558 Bi
0.0000 0.0000 0.6442 Bi
0.5000 0.5000 0.1442 Bi
0.5000 0.5000 0.8558 Bi
0.0000 0.0000 0.0000 C
0.5000 0.5000 0.5000 C
```

Computed properties:
VASP energy   -7.33 eV/atom
N(E_F)   13.93 states/eV/f.u.
Formation energy from the elements   -0.4903 eV per atom

Entry 2:
Here is an optimized crystal structure of Ce4BiPbC from the Alexandria database. Energies are from PBE.

```
Ce4BiPbC
1.0
3.4787 -8.2486 0.0000
3.4787 8.2486 0.0000
0.0000 0.0000 6.9607
Ce Bi Pb C
8 2 2 2
direct
0.0000 0.5000 0.0000 Ce
0.0000 0.5000 0.5000 Ce
0.0934 0.9066 0.7500 Ce
0.4036 0.5964 0.7500 Ce
0.5000 0.0000 0.0000 Ce
0.5000 0.0000 0.5000 Ce
0.5964 0.4036 0.2500 Ce
0.9066 0.0934 0.2500 Ce
0.3932 0.6068 0.2500 Bi
0.6068 0.3932 0.7500 Bi
0.1072 0.8928 0.2500 Pb
0.8928 0.1072 0.7500 Pb
0.2455 0.7545 0.7500 C
0.7545 0.2455 0.2500 C
```

Computed properties:
VASP energy   -6.24 eV/atom
N(E_F)   19.49 states/eV/f.u.
Formation energy from the elements   -0.4471 eV per atom

Entry 3:
Here is an optimized crystal structure of Ce2Pm2Bi2C from the Alexandria database. Energies are from PBE.

```
Ce2Pm2Bi2C
1.0
4.8585 0.0000 0.0000
0.0000 4.8585 0.0000
0.0000 0.0000 16.8382
Ce Pm Bi C
4 4 4 2
direct
0.0000 0.5000 0.0000 Ce
0.0000 0.5000 0.5000 Ce
0.5000 0.0000 0.0000 Ce
0.5000 0.0000 0.5000 Ce
0.0000 0.0000 0.1590 Pm
0.0000 0.0000 0.8410 Pm
0.5000 0.5000 0.3410 Pm
0.5000 0.5000 0.6590 Pm
0.0000 0.0000 0.3561 Bi
0.0000 0.0000 0.6439 Bi
0.5000 0.5000 0.1439 Bi
0.5000 0.5000 0.8561 Bi
0.0000 0.0000 0.0000 C
0.5000 0.5000 0.5000 C
```

Computed properties:
VASP energy   -6.08 eV/atom
N(E_F)   9.83 states/eV/f.u.
Formation energy from the elements   -0.6019 eV per atom

Entry 4:
Here is an optimized crystal structure of Ce2PmBiC from the Alexandria database. Energies are from PBE.

```
Ce2PmBiC
1.0
4.9705 0.0000 0.0000
0.0000 4.9705 0.0000
0.0000 0.0000 5.1333
Ce Pm Bi C
2 1 1 1
direct
0.0000 0.5000 0.0000 Ce
0.5000 0.0000 0.0000 Ce
0.0000 0.0000 0.5000 Pm
0.5000 0.5000 0.5000 Bi
0.0000 0.0000 0.0000 C
```

Computed properties:
VASP energy   -6.41 eV/atom
N(E_F)   9.15 states/eV/f.u.
Formation energy from the elements   -0.4641 eV per atom

Entry 5:
Here is an optimized crystal structure of Ce2PuBiC from the Alexandria database. Energies are from PBE.

```
Ce2PuBiC
1.0
5.0214 0.0000 0.0000
0.0000 5.0214 0.0000
0.0000 0.0000 4.8367
Ce Pu Bi C
2 1 1 1
direct
0.0000 0.5000 0.0000 Ce
0.5000 0.0000 0.0000 Ce
0.0000 0.0000 0.5000 Pu
0.5000 0.5000 0.5000 Bi
0.0000 0.0000 0.0000 C
```

Computed properties:
VASP energy   -8.27 eV/atom
N(E_F)   9.65 states/eV/f.u.
Formation energy from the elements   -0.4066 eV per atom

Entry 6:
Here is an optimized crystal structure of Ce2Pu2Bi2C from the Alexandria database. Energies are from PBE.

```
Ce2Pu2Bi2C
1.0
4.8242 0.0000 0.0000
0.0000 4.8242 0.0000
0.0000 0.0000 16.7458
Ce Pu Bi C
4 4 4 2
direct
0.0000 0.0000 0.1557 Ce
0.0000 0.0000 0.8443 Ce
0.5000 0.5000 0.3443 Ce
0.5000 0.5000 0.6557 Ce
0.0000 0.5000 0.0000 Pu
0.0000 0.5000 0.5000 Pu
0.5000 0.0000 0.0000 Pu
0.5000 0.0000 0.5000 Pu
0.0000 0.0000 0.3562 Bi
0.0000 0.0000 0.6438 Bi
0.5000 0.5000 0.1438 Bi
0.5000 0.5000 0.8562 Bi
0.0000 0.0000 0.0000 C
0.5000 0.5000 0.5000 C
```

Computed properties:
VASP energy   -8.70 eV/atom
N(E_F)   18.38 states/eV/f.u.
Formation energy from the elements   -0.4791 eV per atom

Entry 7:
Here is an optimized crystal structure of Ce6Bi2RuC from the Alexandria database. Energies are from PBE.

```
Ce6Bi2RuC
1.0
5.1268 0.0000 0.0000
0.0000 5.1268 0.0000
0.0000 0.0000 10.4957
Ce Bi Ru C
6 2 1 1
direct
0.0000 0.0000 0.2282 Ce
0.0000 0.0000 0.7718 Ce
0.0000 0.5000 0.0000 Ce
0.0000 0.5000 0.5000 Ce
0.5000 0.0000 0.0000 Ce
0.5000 0.0000 0.5000 Ce
0.5000 0.5000 0.2423 Bi
0.5000 0.5000 0.7577 Bi
0.0000 0.0000 0.5000 Ru
0.0000 0.0000 0.0000 C
```

Computed properties:
VASP energy   -6.59 eV/atom
N(E_F)   25.65 states/eV/f.u.
Formation energy from the elements   -0.4016 eV per atom

Entry 8:
Here is an optimized crystal structure of Ce5Bi2RuC from the Alexandria database. Energies are from PBE.

```
Ce5Bi2RuC
1.0
4.7054 0.0000 0.0000
0.0000 4.7054 0.0000
0.0000 0.0000 11.3359
Ce Bi Ru C
5 2 1 1
direct
0.0000 0.0000 0.0000 Ce
0.0000 0.5000 0.5000 Ce
0.5000 0.0000 0.5000 Ce
0.5000 0.5000 0.2230 Ce
0.5000 0.5000 0.7770 Ce
0.0000 0.0000 0.2869 Bi
0.0000 0.0000 0.7131 Bi
0.5000 0.5000 0.0000 Ru
0.5000 0.5000 0.5000 C
```

Computed properties:
VASP energy   -6.58 eV/atom
N(E_F)   26.70 states/eV/f.u.
Formation energy from the elements   -0.3681 eV per atom